Here is a relaxed structure of Ag3Br from Alexandria via LeMat-Bulk. Energies are from GGA-PBEsol.

Cell: 3.582 4.015 5.651 Å, 90.00 90.00 90.00°
Element x y z (fractional)
Br 0.000 0.500 0.314
Ag 0.000 0.000 0.936
Ag 0.500 0.000 0.545
Ag 0.500 0.500 0.872

Summary:
Raw total energy (eV per atom): -2.867


Here is a relaxed structure of Rb2ZrTa from Alexandria via LeMat-Bulk. Energies are from GGA-PBEsol.

Cell: 5.599 5.599 5.599 Å, 60.00 60.00 60.00°
Element x y z (fractional)
Rb 0.250 0.250 0.250
Rb 0.750 0.750 0.750
Zr 0.000 0.000 0.000
Ta 0.500 0.500 0.500

Summary:
Calculated formation energy (meV/atom): 2314


Here is a relaxed structure of MoPHO2 from Alexandria via LeMat-Bulk. Energies are from GGA-PBEsol.

Cell: 2.924 3.871 3.871 Å, 90.00 90.00 90.00°
Element x y z (fractional)
P 0.500 0.000 0.000
Mo 0.500 0.500 0.500
O 0.000 0.000 0.500
O 0.000 0.500 0.000
H 0.000 0.000 0.000

Summary:
Raw total energy (eV per atom): -5.962


Here is a relaxed structure of LaTl2Ni from Alexandria via LeMat-Bulk. Energies are from GGA-PBEsol.

Cell: 3.850 4.895 6.243 Å, 67.64 72.04 66.84°
Element x y z (fractional)
La 0.556 0.428 0.460
Ni 0.245 0.386 0.123
Tl 0.953 0.984 0.109
Tl 0.745 0.702 0.807

Summary:
Calculated formation energy (meV/atom): -160


Here is a relaxed structure of OsSeBr3 from Alexandria via LeMat-Bulk. Energies are from GGA-PBEsol.

Cell: 5.236 5.236 5.236 Å, 90.00 90.00 90.00°
Element x y z (fractional)
Os 0.500 0.500 0.500
Se 0.000 0.000 0.000
Br 0.000 0.500 0.000
Br 0.000 0.000 0.500
Br 0.500 0.000 0.000

Summary:
Raw total energy (eV per atom): -2.831


Here is a relaxed structure of Y4Ga12Pt from Alexandria via LeMat-Bulk. Energies are from GGA-PBEsol.

Cell: 7.359 7.359 7.359 Å, 109.47 109.47 109.47°
Element x y z (fractional)
Y 0.000 0.500 0.000
Y 0.500 0.500 0.500
Y 0.000 0.000 0.500
Y 0.500 0.000 0.000
Ga 0.000 0.298 0.298
Ga 0.298 0.000 0.298
Ga 0.702 0.000 0.702
Ga 0.298 0.298 0.000
Ga 0.702 0.702 0.000
Ga 0.000 0.702 0.702
Ga 0.750 0.250 0.500
Ga 0.250 0.750 0.500
Ga 0.250 0.500 0.750
Ga 0.750 0.500 0.250
Ga 0.500 0.750 0.250
Ga 0.500 0.250 0.750
Pt 0.000 0.000 0.000

Summary:
Calculated formation energy (meV/atom): -690


Here is a relaxed structure of Li2IrAu from Alexandria via LeMat-Bulk. Energies are from GGA-PBEsol.

Cell: 2.676 2.676 8.709 Å, 90.00 90.00 115.48°
Element x y z (fractional)
Au 0.500 0.500 0.500
Ir 0.500 0.500 0.000
Li 0.000 0.000 0.238
Li 0.000 0.000 0.762

Summary:
Calculated formation energy (meV/atom): -233


Here is a relaxed structure of MnBe2In from Alexandria via LeMat-Bulk. Energies are from GGA-PBEsol.

Cell: 2.748 2.748 8.331 Å, 80.51 80.51 60.00°
Element x y z (fractional)
Be 0.263 0.263 0.210
Be 0.737 0.737 0.790
Mn 0.000 0.000 0.000
In 0.500 0.500 0.500

Summary:
Calculated formation energy (meV/atom): 588


Here is a relaxed structure of LaAlRe2 from Alexandria via LeMat-Bulk. Energies are from GGA-PBEsol.

Cell: 2.872 5.375 5.395 Å, 119.14 104.20 92.41°
Element x y z (fractional)
Re 0.000 0.000 0.500
Re 0.500 0.500 0.500
Al 0.500 0.000 0.000
La 0.000 0.500 0.000

Summary:
Calculated formation energy (meV/atom): 518


Here is a relaxed structure of Zr3CdN from Alexandria via LeMat-Bulk. Energies are from GGA-PBEsol.

Cell: 4.460 4.460 4.460 Å, 90.00 90.00 90.00°
Element x y z (fractional)
N 0.000 0.000 0.000
Zr 0.000 0.500 0.000
Zr 0.000 0.000 0.500
Zr 0.500 0.000 0.000
Cd 0.500 0.500 0.500

Summary:
Raw total energy (eV per atom): -8.327


Here is a relaxed structure of Na3OsBr from Alexandria via LeMat-Bulk. Energies are from GGA-PBEsol.

Cell: 5.288 5.288 5.288 Å, 90.00 90.00 90.00°
Element x y z (fractional)
Na 0.000 0.500 0.000
Na 0.000 0.000 0.500
Na 0.500 0.000 0.000
Os 0.500 0.500 0.500
Br 0.000 0.000 0.000

Summary:
Raw total energy (eV per atom): -2.823


Here is a relaxed structure of Sc2GaCuCl from Alexandria via LeMat-Bulk. Energies are from GGA-PBEsol.

Cell: 4.327 5.017 5.017 Å, 90.00 90.00 90.00°
Element x y z (fractional)
Sc 0.000 0.000 0.500
Sc 0.000 0.500 0.000
Cu 0.000 0.000 0.000
Ga 0.500 0.000 0.000
Cl 0.500 0.500 0.500

Summary:
Raw total energy (eV per atom): -4.719


We obtain total magnetic moment values of 0.00; 1.25; 0.50; 0.00; 4.55; 0.00; 0.00; 1.73; 0.00; 0.00; 2.20; 0.00 μB per formula unit for the records listed above, in that order.
We obtain N(E_F) values of 0.6; 6.5; 3.6; 2.3; 8.5; 3.7; 2.2; 2.8; 3.7; 3.0; 9.2; 4.9 states/eV/cell for the records listed above, in that order.